YEr2Os | PBE-GGA | relaxed

a = 3.3778 Å, b = 3.3778 Å, c = 9.2074 Å
α = 90.00°, β = 90.00°, γ = 90.00°
Closest atoms and distances in Å follow each position.
Fractional coordinates of all 4 atoms:
Y 0.0000 0.0000 0.0000  4 Y 3.38
Er 0.5000 0.5000 0.3216  4 Os 2.90
Er 0.5000 0.5000 0.6784  4 Os 2.90
Os 0.0000 0.0000 0.5000  8 Er 2.90

Properties
calculated formation energy: -149 meV/atom
total magnetic moment: 0.0 Bohr magnetons per cell
distance to the lowest polymorph of the same formula: 0.128 eV per atom